DFT (PBE-GGA) results for La3HgRu after structural relaxation. Values from VASP.

Summary:
The magnetization is 0.00 μB/f.u. The energy above the most stable polymorph in this dataset is 209 meV per atom. The symmetry is No. 167. Its density of states at the Fermi level is 1.709 states/eV per atom.

Quantum ESPRESSO input file:
```
&SYSTEM
  ibrav = 0, nat = 10, ntyp = 3
/
ATOMIC_SPECIES
La 138.91 La.upf
Hg 200.59 Hg.upf
Ru 101.07 Ru.upf
ATOMIC_POSITIONS crystal
La 0.9452 0.5548 0.2500
La 0.5548 0.2500 0.9452
Hg 0.0000 0.0000 0.0000
Hg 0.5000 0.5000 0.5000
La 0.7500 0.0548 0.4452
Ru 0.2500 0.2500 0.2500
La 0.0548 0.4452 0.7500
Ru 0.7500 0.7500 0.7500
La 0.4452 0.7500 0.0548
La 0.2500 0.9452 0.5548
CELL_PARAMETERS angstrom
5.1910 0.0000 3.9275
-2.5955 4.4956 3.9275
-2.5955 -4.4956 3.9275
```

DFT (PBE-GGA) results for La3HgRu after structural relaxation. Values from VASP.

Summary:
The magnetization is 0.00 μB/f.u. The energy above the most stable polymorph in this dataset is 47 meV per atom. The symmetry is No. 15. Its density of states at the Fermi level is 1.214 states/eV per atom.

Quantum ESPRESSO input file:
```
&SYSTEM
  ibrav = 0, nat = 20, ntyp = 3
/
ATOMIC_SPECIES
La 138.91 La.upf
Ru 101.07 Ru.upf
Hg 200.59 Hg.upf
ATOMIC_POSITIONS crystal
La 0.5799 0.1694 0.0167
La 0.4201 0.8306 0.9833
Ru 0.2500 0.8681 0.3681
La 0.9201 0.5167 0.6694
Hg 0.6479 0.9785 0.7241
La 0.5723 0.3967 0.7468
Hg 0.1479 0.7759 0.5215
La 0.5213 0.8501 0.7577
Hg 0.3521 0.0215 0.2759
Hg 0.8521 0.2241 0.4785
La 0.4787 0.1499 0.2423
Ru 0.7500 0.7539 0.2539
Ru 0.2500 0.2461 0.7461
La 0.4277 0.6033 0.2532
La 0.9787 0.2577 0.3501
La 0.0799 0.4833 0.3306
La 0.9277 0.2468 0.8967
Ru 0.7500 0.1319 0.6319
La 0.0723 0.7532 0.1033
La 0.0213 0.7423 0.6499
CELL_PARAMETERS angstrom
-1.4728 14.2351 -6.8752
-1.2919 3.3427 -9.0217
-5.1861 -8.1983 0.3559
```